# La4PdCCl2

A relaxed structure of La4PdCCl2 (GGA-PBE, Alexandria).

Structure (CIF):
```
data_La4PdCCl2
_chemical_formula_sum 'La4 Pd1 C1 Cl2'
_cell_length_a 7.3264
_cell_length_b 4.0096
_cell_length_c 7.3781
_cell_angle_alpha 90.00
_cell_angle_beta 106.93
_cell_angle_gamma 90.00
_space_group_name_H-M_alt 'P 1 2/m 1'
_space_group_IT_number 10
_space_group_name_Hall '-P 2y'
loop_
_atom_site_label
_atom_site_type_symbol
_atom_site_fract_x
_atom_site_fract_y
_atom_site_fract_z
La1 La 0.2104 0.0000 0.2040
La2 La 0.2260 0.5000 0.7805
Pd1 Pd 0.5000 0.0000 0.0000
C1 C 0.0000 0.5000 0.0000
Cl1 Cl 0.0000 0.0000 0.5000
Cl2 Cl 0.5000 0.5000 0.5000
```

Calculated values
calculated volume = 207.34 Å³ per cell
ΔE_f (raw) = -1.05 eV/atom
raw total energy = -46.2 eV per cell
D(E_F) = 6.55 states/eV/f.u.